## PbBr2O (PBE)

Data for a relaxed structure of PbBr2O. Values from VASP.

Cell and atoms, written as Quantum ESPRESSO input:
```
&SYSTEM
  ibrav = 0, nat = 4, ntyp = 3
/
ATOMIC_SPECIES
O 16.00 O.upf
Pb 207.20 Pb.upf
Br 79.90 Br.upf
ATOMIC_POSITIONS crystal
O 0.000 0.000 0.000
Pb 0.500 0.500 0.500
Br 0.750 0.750 0.750
Br 0.250 0.250 0.250
CELL_PARAMETERS angstrom
4.857 -1.839 -0.084
0.856 -5.098 0.508
1.657 -2.774 -4.068
```

Properties
E_form (uncorrected) ... 46 meV per atom
Crystal system ... cubic
Calculated volume ... 24.8 A^3/atom
M_tot ... 2.00 μB/f.u.
DOS at the Fermi energy ... 1.2633 states/eV per atom
Calculated total energy ... -2.9576 eV/atom

***

## PbBr2O (PBE)

Data for a relaxed structure of PbBr2O. Values from VASP.

Cell and atoms, written as Quantum ESPRESSO input:
```
&SYSTEM
  ibrav = 0, nat = 4, ntyp = 3
/
ATOMIC_SPECIES
O 16.00 O.upf
Pb 207.20 Pb.upf
Br 79.90 Br.upf
ATOMIC_POSITIONS crystal
O 0.500 0.500 0.500
Pb 0.000 0.000 0.000
Br 0.892 0.892 0.892
Br 0.108 0.108 0.108
CELL_PARAMETERS angstrom
2.156 0.000 8.938
-1.078 1.867 8.938
-1.078 -1.867 8.938
```

Properties
E_form (uncorrected) ... 490 meV per atom
Crystal system ... trigonal
Calculated volume ... 27.0 A^3/atom
M_tot ... 2.80 μB/f.u.
DOS at the Fermi energy ... 0.2430 states/eV per atom
Calculated total energy ... -2.5129 eV/atom

***

## PbBrO2 (PBE)

Data for a relaxed structure of PbBrO2. Values from VASP.

Cell and atoms, written as Quantum ESPRESSO input:
```
&SYSTEM
  ibrav = 0, nat = 4, ntyp = 3
/
ATOMIC_SPECIES
Pb 207.20 Pb.upf
O 16.00 O.upf
Br 79.90 Br.upf
ATOMIC_POSITIONS crystal
Pb 0.500 0.500 0.500
O 0.250 0.250 0.250
Br 0.000 0.000 0.000
O 0.750 0.750 0.750
CELL_PARAMETERS angstrom
2.266 -2.042 3.415
-0.445 1.543 4.288
-2.281 -2.480 3.100
```

Properties
E_form (uncorrected) ... 260 meV per atom
Crystal system ... cubic
Calculated volume ... 17.0 A^3/atom
M_tot ... 3.00 μB/f.u.
DOS at the Fermi energy ... 0.3646 states/eV per atom
Calculated total energy ... -3.5642 eV/atom

***

Q: Among the records above, which one has the highest M_tot?
A: PbBrO2

***

Q: The lowest calculated volume belongs to which entry?
A: PbBrO2

***

Q: calculated total energy of number 3 (PbBrO2)?
A: -3.5642 eV/atom

***

Q: Number 1 is which compound?
A: PbBr2O